This record from the Alexandria database describes an optimized crystal structure of Nd8TcHg2. The functional is PBE.

Its energy relative to the elements is -0.04 eV per atom. For the theoretical density, the calculation gives 8.3 Mg/m³. The total DFT energy (no corrections) is -4.51 eV/atom. Its crystal system is orthorhombic. As for the density of states at the Fermi level: 0.912 states/eV per atom. As for the space-group type: Immm. As for the relative energy among the computed polymorphs: 90 meV/atom.

Cell and atoms, written as POSCAR:
```
Nd8TcHg2
1.0
-3.0705 -2.8059 2.9108
6.8486 -4.8472 2.5519
-0.7288 8.4626 2.9616
Nd Hg Tc
8 2 1
Direct
0.6527 0.8866 0.3055
0.0000 0.6664 0.0000
0.8813 0.8813 0.7625
0.3473 0.5811 0.6945
0.1187 0.1187 0.2375
0.6527 0.4189 0.3055
0.0000 0.3336 0.0000
0.3473 0.1134 0.6945
0.8015 0.3015 0.6030
0.1985 0.6985 0.3970
0.5000 0.0000 0.0000
```

This record from the Alexandria database describes an optimized crystal structure of CaTcP3. The functional is PBE.

Its energy relative to the elements is -0.04 eV per atom. For the theoretical density, the calculation gives 3.7 Mg/m³. The total DFT energy (no corrections) is -5.76 eV/atom. Its crystal system is cubic. As for the density of states at the Fermi level: 0.994 states/eV per atom. As for the space-group type: Pm-3m.

Cell and atoms, written as POSCAR:
```
CaTcP3
1.0
-3.2648 -3.0256 1.4690
-0.1211 -1.9402 -4.2653
3.3612 -3.0088 1.2733
P Tc Ca
3 1 1
Direct
0.5000 0.0000 0.0000
0.0000 0.0000 0.5000
0.0000 0.5000 0.0000
0.0000 0.0000 0.0000
0.5000 0.5000 0.5000
```

This record from the Alexandria database describes an optimized crystal structure of KCoPt2. The functional is PBE.

Its energy relative to the elements is 0.27 eV per atom. For the theoretical density, the calculation gives 10.2 Mg/m³. The total DFT energy (no corrections) is -4.80 eV/atom. Its crystal system is orthorhombic. As for the density of states at the Fermi level: 1.212 states/eV per atom. As for the space-group type: Pmm2. As for the relative energy among the computed polymorphs: 166 meV/atom.

Cell and atoms, written as POSCAR:
```
KCoPt2
1.0
2.7365 0.0000 0.0000
0.0000 3.9348 0.0000
0.0000 0.0000 7.3613
K Pt Co
1 2 1
Direct
0.5000 0.5000 0.7528
0.0000 0.0000 0.0649
0.5000 0.5000 0.2780
0.0000 0.0000 0.4042
```

This record from the Alexandria database describes an optimized crystal structure of GdCdCu2. The functional is PBE.

Its energy relative to the elements is -0.07 eV per atom. For the theoretical density, the calculation gives 8.6 Mg/m³. The total DFT energy (no corrections) is -5.87 eV/atom. Its crystal system is tetragonal. As for the density of states at the Fermi level: 0.667 states/eV per atom. As for the space-group type: P4/mmm.

Cell and atoms, written as POSCAR:
```
GdCdCu2
1.0
-3.0675 -0.3271 -1.3844
0.6005 -3.2809 -0.5554
-2.5450 -1.4797 5.9889
Cd Gd Cu
1 1 2
Direct
0.5000 0.5000 0.0000
0.5000 0.5000 0.5000
0.0000 0.0000 0.7792
0.0000 0.0000 0.2208
```

This record from the Alexandria database describes an optimized crystal structure of Ca2LaPd. The functional is PBE.

Its energy relative to the elements is -0.40 eV per atom. For the theoretical density, the calculation gives 4.2 Mg/m³. The total DFT energy (no corrections) is -3.93 eV/atom. Its crystal system is orthorhombic. As for the density of states at the Fermi level: 1.086 states/eV per atom. As for the space-group type: Pnma. As for the relative energy among the computed polymorphs: 1 meV/atom.

Cell and atoms, written as POSCAR:
```
Ca2LaPd
1.0
6.6110 0.0000 0.0000
0.0000 7.6464 0.0000
0.0000 0.0000 10.1149
Pd La Ca
4 4 8
Direct
0.0468 0.3801 0.2500
0.4532 0.8801 0.2500
0.5468 0.1199 0.7500
0.9532 0.6199 0.7500
0.3564 0.4581 0.7500
0.8564 0.0419 0.2500
0.1436 0.9581 0.7500
0.6436 0.5419 0.2500
0.1630 0.6770 0.4340
0.6630 0.8230 0.5660
0.3370 0.1770 0.0660
0.8370 0.3230 0.9340
0.8370 0.3230 0.5660
0.3370 0.1770 0.4340
0.6630 0.8230 0.9340
0.1630 0.6770 0.0660
```

This record from the Alexandria database describes an optimized crystal structure of Sm2Ho5Er4. The functional is PBE.

Its energy relative to the elements is 0.21 eV per atom. For the theoretical density, the calculation gives 8.3 Mg/m³. The total DFT energy (no corrections) is -4.38 eV/atom. Its crystal system is orthorhombic. As for the density of states at the Fermi level: 1.442 states/eV per atom. As for the space-group type: Immm. As for the relative energy among the computed polymorphs: 193 meV/atom.

Cell and atoms, written as POSCAR:
```
Sm2Ho5Er4
1.0
3.4743 0.0000 0.0000
0.0000 8.9550 0.0000
-1.7372 -4.4775 11.5508
Sm Er Ho
2 4 5
Direct
0.2679 0.2679 0.5358
0.7321 0.7321 0.4642
0.5970 0.5970 0.1939
0.0000 0.6890 0.0000
0.0000 0.3110 0.0000
0.4030 0.4030 0.8061
0.1421 0.9463 0.2843
0.1421 0.3380 0.2843
0.8579 0.0537 0.7157
0.5000 0.0000 0.0000
0.8579 0.6620 0.7157
```

no.,size of the total moment (Bohr magnetons per cell)
1,0.00
2,0.00
3,2.31
4,7.30
5,0.00
6,0.00